Record 1
A geometry-optimized LaSiIr2 structure. Source: Alexandria, functional PBE.

Geometry as extended XYZ:
```
4
Lattice="3.098 0.000 0.000 0.000 3.098 0.000 0.000 0.000 7.497" Properties=species:S:1:pos:R:3 pbc="T T T"
La 0.000 0.000 0.000
Si 1.549 1.549 2.369
Ir 0.000 0.000 3.538
Ir 1.549 1.549 5.418
```

Record 2
A geometry-optimized ZrBS3 structure. Source: Alexandria, functional PBE.

Geometry as extended XYZ:
```
5
Lattice="4.216 0.000 0.000 0.000 4.216 0.000 0.000 0.000 4.216" Properties=species:S:1:pos:R:3 pbc="T T T"
Zr 0.000 0.000 0.000
B 2.108 2.108 2.108
S 0.000 2.108 2.108
S 2.108 0.000 2.108
S 2.108 2.108 0.000
```

## Properties
Distance to the lowest polymorph of the same formula   0.800 eV/atom

no.,size of the total moment (μB/f.u.),formation energy from raw total energies (eV per formula unit)
1,0.0,-1.0
2,0.0,-0.2